GGA-PBE ScSiOs, relaxed; DOS at the Fermi energy = 2.28 states/eV/f.u.; volume = 15.70 Å³ per atom; magnetic moment = 0.0 μB per formula unit; space group = Imma; calculated total energy = -24.88 eV/f.u.
1.0
5.0547 0.0000 0.0000
0.0000 5.2884 0.0000
0.0000 0.0000 7.0467
Sc Si Os
4 4 4
Cartesian
0.0000 1.3221 0.8913
0.0000 3.9663 6.1554
2.5274 1.3221 2.6320
2.5274 3.9663 4.4147
1.2637 1.3221 5.2850
1.2637 3.9663 1.7617
3.7911 1.3221 5.2850
3.7911 3.9663 1.7617
0.0000 0.0000 3.5233
0.0000 2.6442 3.5233
2.5274 0.0000 0.0000
2.5274 2.6442 0.0000